Entry from Alexandria: a relaxed AcPm6Sm8 crystal (GGA-PBE).

Computed properties:
formation enthalpy at 0 K = 0.184 eV/atom
uncorrected energy = -4.507 eV/atom
ρ = 7265 kg/m³
volume = 35.05 Å³ per atom
distance to the lowest polymorph of the same formula = 32 meV per atom

a = 9.8952 Å, b = 9.8952 Å, c = 18.5980 Å
α = 90.00°, β = 90.00°, γ = 120.00°
Space group R-3 (No. 148, hexagonal axes)
Asymmetric unit:
Ac (0.0000, 0.0000, 0.0000) x3
Pm (0.0227, 0.7864, 0.4057) x18
Sm (0.0000, 0.0000, 0.2326) x6
Sm (0.0439, 0.7568, 0.8991) x18



Entry from Alexandria: a relaxed AcPm3Sm12 crystal (GGA-PBE).

Computed properties:
formation enthalpy at 0 K = 0.021 eV/atom
uncorrected energy = -4.666 eV/atom
ρ = 7426 kg/m³
volume = 34.47 Å³ per atom

a = 5.166 Å, b = 5.166 Å, c = 20.670 Å
α = 90.00°, β = 90.00°, γ = 90.00°
Space group P4/mmm (No. 123)
Asymmetric unit:
Ac (0.000, 0.000, 0.000) x1
Pm (0.000, 0.000, 0.252) x2
Pm (0.000, 0.000, 0.500) x1
Sm (0.000, 0.500, 0.129) x4
Sm (0.000, 0.500, 0.376) x4
Sm (0.500, 0.500, 0.000) x1
Sm (0.500, 0.500, 0.253) x2
Sm (0.500, 0.500, 0.500) x1



Entry from Alexandria: a relaxed Ac2Pm3Sm crystal (GGA-PBE).

Computed properties:
formation enthalpy at 0 K = 0.218 eV/atom
uncorrected energy = -4.313 eV/atom
ρ = 7419 kg/m³
volume = 38.77 Å³ per atom

a = 20.863 Å, b = 3.595 Å, c = 12.421 Å
α = 90.00°, β = 92.92°, γ = 90.00°
Space group C2/m (No. 12)
Asymmetric unit:
Ac (0.124, 0.000, 0.124) x4
Ac (0.125, 0.500, 0.624) x4
Pm (0.048, 0.500, 0.354) x4
Pm (0.202, 0.000, 0.395) x4
Pm (0.202, 0.500, 0.895) x4
Sm (0.049, 0.000, 0.853) x4



Entry from Alexandria: a relaxed AcPm2Sm6 crystal (GGA-PBE).

Computed properties:
formation enthalpy at 0 K = 0.075 eV/atom
uncorrected energy = -4.584 eV/atom
ρ = 7358 kg/m³
volume = 35.59 Å³ per atom
distance to the lowest polymorph of the same formula = 0 meV per atom

a = 3.6808 Å, b = 3.6808 Å, c = 27.2955 Å
α = 90.00°, β = 90.00°, γ = 120.00°
Space group P-6m2 (No. 187)
Asymmetric unit:
Ac (0.0000, 0.0000, 0.0000) x1
Pm (0.3333, 0.6667, 0.3326) x2
Sm (0.0000, 0.0000, 0.2216) x2
Sm (0.0000, 0.0000, 0.4368) x2
Sm (0.3333, 0.6667, 0.1163) x2



Entry from Alexandria: a relaxed Ac3Pm3Sm crystal (GGA-PBE).

Computed properties:
formation enthalpy at 0 K = 0.184 eV/atom
uncorrected energy = -4.287 eV/atom
ρ = 7555 kg/m³
volume = 39.76 Å³ per atom

a = 13.820 Å, b = 5.694 Å, c = 14.148 Å
α = 90.00°, β = 90.00°, γ = 90.00°
Space group Pnma (No. 62)
Asymmetric unit:
Ac (0.086, 0.250, 0.059) x4
Ac (0.094, 0.250, 0.560) x4
Ac (0.188, 0.750, 0.367) x4
Pm (0.036, 0.250, 0.313) x4
Pm (0.168, 0.750, 0.933) x4
Pm (0.212, 0.750, 0.698) x4
Sm (0.040, 0.250, 0.813) x4



Entry from Alexandria: a relaxed AcPmSm2 crystal (GGA-PBE).

Computed properties:
formation enthalpy at 0 K = 0.033 eV/atom
uncorrected energy = -4.542 eV/atom
ρ = 7680 kg/m³
volume = 36.36 Å³ per atom
distance to the lowest polymorph of the same formula = 0 meV per atom

a = 5.265 Å, b = 5.265 Å, c = 5.247 Å
α = 90.00°, β = 90.00°, γ = 90.00°
Space group P4/mmm (No. 123)
Asymmetric unit:
Ac (0.000, 0.000, 0.000) x1
Pm (0.500, 0.500, 0.000) x1
Sm (0.000, 0.500, 0.500) x2



Entry from Alexandria: a relaxed Ac2Pm4Sm crystal (GGA-PBE).

Computed properties:
formation enthalpy at 0 K = 0.565 eV/atom
uncorrected energy = -3.998 eV/atom
ρ = 6561 kg/m³
volume = 42.82 Å³ per atom
distance to the lowest polymorph of the same formula = 528 meV per atom

a = 5.731 Å, b = 5.731 Å, c = 18.254 Å
α = 90.00°, β = 90.00°, γ = 90.00°
Space group I4/mmm (No. 139)
Asymmetric unit:
Ac (0.000, 0.000, 0.128) x4
Pm (0.000, 0.000, 0.327) x4
Pm (0.000, 0.500, 0.000) x4
Sm (0.000, 0.000, 0.500) x2



Entry from Alexandria: a relaxed Ac4Pm6Sm crystal (GGA-PBE).

Computed properties:
formation enthalpy at 0 K = 0.253 eV/atom
uncorrected energy = -4.261 eV/atom
ρ = 7415 kg/m³
volume = 39.26 Å³ per atom

a = 7.195 Å, b = 7.195 Å, c = 16.681 Å
α = 90.00°, β = 90.00°, γ = 90.00°
Space group I-42m (No. 121)
Asymmetric unit:
Ac (0.195, 0.195, 0.180) x8
Pm (0.000, 0.500, 0.000) x4
Pm (0.168, 0.168, 0.398) x8
Sm (0.000, 0.000, 0.000) x2